(1)
Computed, not measured: ThBeAl2Pt4 after structural relaxation at the PBE-GGA level of DFT.

Cell lengths 4.2429, 4.2429, 25.8811 Å; angles 90.00, 90.00, 120.00 degrees
With the nearest neighbours (Å) after each atom.
Space group R-3m (No. 166, hexagonal axes)
Unique sites:
1 Th 0.0000 0.0000 0.0000 (multiplicity 3)  6 Pt 3.07
2 Be 0.0000 0.0000 0.5000 (multiplicity 3)  8 Pt 2.46-2.57
3 Al 0.0000 0.0000 0.2369 (multiplicity 6)  7 Pt 2.53-2.66
4 Pt 0.0000 0.0000 0.1365 (multiplicity 6)  3 Be 2.57, 4 Al 2.60-2.66
5 Pt 0.0000 0.0000 0.4051 (multiplicity 6)  1 Be 2.46, 3 Al 2.53

Values from the calculation:
- Total magnetization: 0.0 μB/f.u.
- DFT formation energy: -8.5 eV/f.u.

---

(2)
Computed, not measured: PrNpScO6 after structural relaxation at the PBE-GGA level of DFT.

Cell lengths 5.5689, 5.5689, 10.0857 Å; angles 90.00, 90.00, 120.00 degrees
With the nearest neighbours (Å) after each atom.
Space group P-31c (No. 163)
Unique sites:
1 Pr 0.0000 0.0000 0.0000 (multiplicity 2)  6 O 2.45
2 Np 0.3333 0.6667 0.2500 (multiplicity 2)  6 O 2.08
3 Sc 0.3333 0.6667 0.7500 (multiplicity 2)  6 O 2.13
4 O 0.0073 0.3618 0.1408 (multiplicity 12)  1 Np 2.08, 1 Sc 2.13

Values from the calculation:
- Total magnetization: 1.0 μB/f.u.
- Energy relative to the elements, uncorrected: -3.189 eV per atom

---

(3)
Computed, not measured: YPuTlGa after structural relaxation at the PBE-GGA level of DFT.

Cell lengths 7.4337, 7.4337, 7.4337 Å; angles 90.00, 90.00, 90.00 degrees
With the nearest neighbours (Å) after each atom.
Space group F-43m (No. 216)
Unique sites:
1 Y 0.0000 0.0000 0.0000 (multiplicity 4)  4 Tl 3.22, 4 Ga 3.22
2 Pu 0.0000 0.0000 0.5000 (multiplicity 4)  4 Ga 3.22, 4 Tl 3.22
3 Tl 0.2500 0.2500 0.2500 (multiplicity 4)  4 Pu 3.22, 4 Y 3.22
4 Ga 0.2500 0.2500 0.7500 (multiplicity 4)  4 Pu 3.22, 4 Y 3.22

Values from the calculation:
- Total magnetization: 6.0 μB/f.u.
- DFT formation energy: -1.0 eV/f.u.

---

(4)
Computed, not measured: Nd4Dy5Er after structural relaxation at the PBE-GGA level of DFT.

Cell lengths 17.2106, 3.5398, 11.2462 Å; angles 90.00, 90.08, 90.00 degrees
With the nearest neighbours (Å) after each atom.
Space group C2/m (No. 12)
Unique sites:
1 Nd 0.0311 0.0000 0.2494 (multiplicity 4)  4 Dy 3.32-3.37, 2 Er 3.36, 4 Nd 3.54-3.69
2 Nd 0.1569 0.5000 0.7498 (multiplicity 4)  4 Nd 3.54-3.69, 7 Dy 3.68-3.89, 1 Er 3.90
3 Dy 0.0000 0.5000 0.5000 (multiplicity 2)  4 Nd 3.37, 6 Dy 3.52-3.54
4 Dy 0.1730 0.0000 0.0501 (multiplicity 4)  2 Nd 3.32-3.69, 4 Dy 3.38-3.54, 2 Er 3.51
5 Dy 0.1735 0.0000 0.4486 (multiplicity 4)  2 Nd 3.32-3.68, 6 Dy 3.38-3.54
6 Er 0.0000 0.5000 0.0000 (multiplicity 2)  4 Nd 3.36, 4 Dy 3.51, 2 Er 3.54

Values from the calculation:
- Total magnetization: 0.0 μB/f.u.
- DFT formation energy: 1.9 eV/f.u.